MgOs2W: optimized geometry, PBE.

Cell lengths 2.7473, 2.7473, 9.0074 Å; angles 90.00, 90.00, 113.95 degrees
Fractional positions:
Mg (0.0000, 0.0000, 0.0000)
Os (0.5000, 0.5000, 0.2558)
Os (0.5000, 0.5000, 0.7442)
W (0.0000, 0.0000, 0.5000)

Calculated values
- ΔH_f (0 K) (eV per atom) = 0.282
- D(E_F) (states/eV/cell) = 3.42
- DFT total energy (eV per cell) = -35.88
- SG = Cmmm, No. 65